Density functional theory data (PBE-GGA) for an optimized crystal structure of MoIrPb2.

abc: 3.0768 3.0765 9.4145
angles: 90.15 90.00 90.00
Element x y z (fractional)
Ir 0.0000 0.1245 0.5416
Mo 0.5000 0.6257 0.7033
Pb 0.5000 0.6212 0.3080
Pb 0.0000 0.1287 0.9471

Results
Space group: No. 6
Formation enthalpy at 0 K: 0.2164 eV/atom
Uncorrected energy: -6.561 eV/atom
Offset from the most stable computed form: 0.0 kJ/mol of atoms

---

Density functional theory data (PBE-GGA) for an optimized crystal structure of Co2W.

abc: 9.0286 9.0286 9.0286
angles: 160.63 160.63 27.53
Element x y z (fractional)
W 0.7500 0.2500 0.5000
Co 0.3214 0.8214 0.5000
Co 0.5714 0.5714 0.0000
W 0.0000 0.0000 0.0000
Co 0.1786 0.6786 0.5000
Co 0.4286 0.4286 0.0000

Results
Space group: No. 141
Formation enthalpy at 0 K: 0.4400 eV/atom
Uncorrected energy: -8.615 eV/atom

---

Density functional theory data (PBE-GGA) for an optimized crystal structure of KZrTl2F8.

abc: 5.5236 6.0104 7.5380
angles: 90.00 90.00 89.45
Element x y z (fractional)
F 0.1583 0.8138 0.1968
F 0.8417 0.1862 0.8032
F 0.8417 0.1862 0.1968
F 0.2846 0.2140 0.0000
F 0.3405 0.3204 0.5000
F 0.1583 0.8138 0.8032
Tl 0.5000 0.5000 0.2424
Tl 0.5000 0.5000 0.7576
Zr 0.0000 0.0000 0.0000
F 0.7154 0.7860 0.0000
K 0.0000 0.0000 0.5000
F 0.6595 0.6796 0.5000

Results
Space group: No. 10
Uncorrected energy: -5.185 eV/atom
E_form (uncorrected): -2.74 eV per atom

---

Density functional theory data (PBE-GGA) for an optimized crystal structure of ZnHgNF2.

abc: 3.9489 3.9489 4.3556
angles: 90.00 90.00 90.00
Element x y z (fractional)
Hg 0.5000 0.5000 0.5000
F 0.5000 0.0000 0.0000
N 0.0000 0.0000 0.5000
F 0.0000 0.5000 0.0000
Zn 0.0000 0.0000 0.0000

Results
Space group: No. 123
Uncorrected energy: -3.146 eV/atom
E_form (uncorrected): -0.42 eV per atom
Offset from the most stable computed form: 0.0 kJ/mol of atoms

---

Density functional theory data (PBE-GGA) for an optimized crystal structure of TbPm2Dy5Th.

abc: 5.7243 11.1397 9.7998
angles: 90.00 90.00 104.89
Element x y z (fractional)
Dy 0.6945 0.3890 0.2162
Dy 0.5300 0.0601 0.2417
Th 0.5948 0.1896 0.9252
Dy 0.0146 0.0293 0.0164
Pm 0.1149 0.2298 0.3279
Pm 0.8851 0.7702 0.8279
Tb 0.8090 0.6180 0.5170
Dy 0.4700 0.9399 0.7417
Pm 0.8702 0.7405 0.2113
Dy 0.2709 0.5418 0.3270
Dy 0.6025 0.2049 0.5412
Th 0.4052 0.8104 0.4252
Tb 0.1910 0.3820 0.0170
Dy 0.9854 0.9707 0.5164
Dy 0.7291 0.4582 0.8270
Dy 0.3975 0.7951 0.0412
Pm 0.1298 0.2595 0.7113
Dy 0.3055 0.6110 0.7162

Results
Space group: No. 36
Formation enthalpy at 0 K: 0.1612 eV/atom
Uncorrected energy: -4.790 eV/atom

---

Density functional theory data (PBE-GGA) for an optimized crystal structure of TaTlAu.

abc: 4.6255 4.6255 4.6255
angles: 60.00 60.00 60.00
Element x y z (fractional)
Tl 0.0000 0.0000 0.0000
Ta 0.7500 0.7500 0.7500
Au 0.5000 0.5000 0.5000

Results
Space group: No. 216
Formation enthalpy at 0 K: 0.7156 eV/atom
Uncorrected energy: -5.116 eV/atom

---

Density functional theory data (PBE-GGA) for an optimized crystal structure of B4P.

abc: 3.7990 3.7990 3.7990
angles: 90.00 90.00 90.00
Element x y z (fractional)
B 0.5000 0.5000 0.0000
B 0.0000 0.0000 0.0000
B 0.0000 0.5000 0.5000
B 0.5000 0.0000 0.5000
P 0.5000 0.5000 0.5000

Results
Space group: No. 221
Formation enthalpy at 0 K: 2.1201 eV/atom
Uncorrected energy: -4.304 eV/atom

---

Density functional theory data (PBE-GGA) for an optimized crystal structure of NaLiCO3.

abc: 5.0748 5.0748 5.6241
angles: 90.00 90.00 120.00
Element x y z (fractional)
O 0.8146 0.1854 0.7500
O 0.6291 0.8146 0.2500
C 0.3333 0.6667 0.2500
O 0.1854 0.8146 0.2500
O 0.1854 0.3709 0.2500
Na 0.3333 0.6667 0.7500
Na 0.6667 0.3333 0.2500
C 0.6667 0.3333 0.7500
Li 0.0000 0.0000 0.0000
Li 0.0000 0.0000 0.5000
O 0.3709 0.1854 0.7500
O 0.8146 0.6291 0.7500

Results
Space group: No. 194
Uncorrected energy: -6.320 eV/atom
E_form (uncorrected): -1.77 eV per atom
Offset from the most stable computed form: 5.2 kJ/mol of atoms

---

Density functional theory data (PBE-GGA) for an optimized crystal structure of La2YF11.

abc: 8.8555 8.9539 8.9539
angles: 72.58 60.36 60.36
Element x y z (fractional)
F 0.1728 0.0642 0.2042
F 0.3967 0.6840 0.3160
F 0.8272 0.9358 0.7958
F 0.4490 0.9809 0.3170
Y 0.7500 0.7500 0.7500
F 0.3272 0.2958 0.4358
Y 0.2500 0.2500 0.2500
F 0.5510 0.0191 0.6830
La 0.1698 0.8078 0.1922
F 0.8967 0.8160 0.1840
F 0.0000 0.0000 0.0000
F 0.0510 0.1830 0.5191
F 0.7531 0.4809 0.8170
F 0.6728 0.7042 0.5642
La 0.6698 0.6922 0.3078
F 0.7469 0.6830 0.0191
F 0.2469 0.5191 0.1830
F 0.2531 0.3170 0.9809
F 0.5588 0.2042 0.0642
F 0.5000 0.5000 0.5000
F 0.4412 0.7958 0.9358
F 0.6033 0.3160 0.6840
La 0.3302 0.3078 0.6922
F 0.1033 0.1840 0.8160
F 0.9412 0.4358 0.2958
La 0.8302 0.1922 0.8078
F 0.9490 0.8170 0.4809
F 0.0588 0.5642 0.7042

Results
Space group: No. 72
Uncorrected energy: -6.080 eV/atom
E_form (uncorrected): -3.44 eV per atom

---

Density functional theory data (PBE-GGA) for an optimized crystal structure of SrHgOs2.

abc: 10.1204 10.1204 10.1204
angles: 16.78 16.78 16.78
Element x y z (fractional)
Os 0.0051 0.0051 0.0051
Hg 0.7500 0.7500 0.7500
Sr 0.2500 0.2500 0.2500
Os 0.4949 0.4949 0.4949

Results
Space group: No. 166
Formation enthalpy at 0 K: 1.1831 eV/atom
Uncorrected energy: -4.928 eV/atom

---

Density functional theory data (PBE-GGA) for an optimized crystal structure of PuPd6Au.

abc: 4.1121 5.7222 5.7222
angles: 89.99 90.00 90.00
Element x y z (fractional)
Au 0.5000 0.5000 0.5000
Pu 0.5000 0.0000 0.0000
Pd 0.5000 0.5000 0.0000
Pd 0.0000 0.2505 0.2505
Pd 0.5000 0.0000 0.5000
Pd 0.0000 0.7495 0.7495
Pd 0.0000 0.2506 0.7494
Pd 0.0000 0.7494 0.2506

Results
Space group: No. 123
Formation enthalpy at 0 K: -0.3356 eV/atom
Uncorrected energy: -6.431 eV/atom
Offset from the most stable computed form: 0.0 kJ/mol of atoms

---

Density functional theory data (PBE-GGA) for an optimized crystal structure of KThAsO5.

abc: 6.3131 6.3131 8.2497
angles: 104.58 104.58 105.18
Element x y z (fractional)
O 0.7529 0.5996 0.3928
O 0.4004 0.2471 0.1072
As 0.3198 0.6802 0.7500
K 0.6680 0.3320 0.7500
Th 0.0000 0.0000 0.0000
O 0.1331 0.6932 0.8711
O 0.2471 0.4004 0.6072
O 0.3068 0.8669 0.6289
O 0.6932 0.1331 0.3711
O 0.5996 0.7529 0.8928
O 0.9282 0.0718 0.7500
K 0.3320 0.6680 0.2500
O 0.0718 0.9282 0.2500
As 0.6802 0.3198 0.2500
O 0.8669 0.3068 0.1289
Th 0.0000 0.0000 0.5000

Results
Space group: No. 15
Uncorrected energy: -7.138 eV/atom
E_form (uncorrected): -2.39 eV per atom

---

Density functional theory data (PBE-GGA) for an optimized crystal structure of PPdBr2.

abc: 8.5289 8.5289 8.5289
angles: 24.94 24.94 24.94
Element x y z (fractional)
P 0.0000 0.0000 0.0000
Br 0.0987 0.0987 0.0987
Pd 0.5000 0.5000 0.5000
Br 0.9013 0.9013 0.9013

Results
Space group: No. 166
Uncorrected energy: -3.087 eV/atom
E_form (uncorrected): 0.40 eV per atom
Offset from the most stable computed form: 0.0 kJ/mol of atoms

---

no.,spin magnetization (μB/atom)
1,0.000
2,0.000
3,0.000
4,0.201
5,0.000
6,0.000
7,0.000
8,0.000
9,0.152
10,0.000
11,0.477
12,0.000
13,0.000